# 1
Compound: Rb2HgPO4
Source: Alexandria
Functional: PBE-GGA
Structure: optimized geometry

uncorrected formation energy	-1.559	eV per atom
space-group type	Fddd (70)
final energy	-79.900	eV/cell

Structure (extended XYZ):
```
16
Lattice="0.0000 5.7918 11.0394 3.0424 0.0000 11.0394 3.0424 5.7918 0.0000" Properties=species:S:1:pos:R:3 pbc="T T T"
Rb 2.2818 4.3438 1.3200
Rb 3.8030 7.2397 6.8397
Rb 2.2818 4.3438 15.2390
Rb 3.8030 7.2397 20.7587
Hg 0.7606 1.4479 2.7598
Hg 5.3241 10.1356 19.3189
P 2.2818 4.3438 8.2795
P 3.8030 7.2397 13.7992
O 3.1915 3.4021 7.4061
O 3.1915 5.2856 9.1529
O 4.7127 6.2980 14.6726
O 1.3720 3.4021 9.1529
O 4.7127 8.1815 12.9258
O 1.3720 5.2856 7.4061
O 2.8932 6.2980 12.9258
O 2.8932 8.1815 14.6726
```



# 2
Compound: Y3In
Source: Alexandria
Functional: PBE-GGA
Structure: optimized geometry

space-group type	Immm (71)
final energy	-23.201	eV/cell
ΔH_f (0 K)	-1.07	eV per formula unit

Structure (extended XYZ):
```
4
Lattice="-1.9365 2.6781 5.7450 1.9365 -2.6781 5.7450 1.9365 2.6781 -5.7450" Properties=species:S:1:pos:R:3 pbc="T T T"
Y 0.0000 0.0000 0.0000
Y 1.9365 0.0000 3.1917
Y 0.0000 2.6781 2.5533
In 0.0000 0.0000 5.7450
```